K2Ba5Br12 | PBE | relaxed

a = 8.3491 Å, b = 10.0414 Å, c = 10.8222 Å
α = 106.07°, β = 90.00°, γ = 114.57°
Fractional coordinates of all 19 atoms:
Br (0.0854, 0.6335, 0.8969)
Br (0.4946, 0.9892, 0.7727)
Br (0.5928, 0.6930, 0.4373)
Ba (0.3040, 0.6080, 0.6490)
K (0.7671, 0.0000, 0.0000)
Br (0.1002, 0.6930, 0.4373)
Br (0.9544, 0.9088, 0.1988)
Ba (0.0000, 0.0000, 0.5000)
Br (0.5480, 0.6335, 0.8969)
Br (0.9146, 0.3665, 0.1031)
Ba (0.6960, 0.3920, 0.3510)
Br (0.0456, 0.0912, 0.8012)
Br (0.4072, 0.3070, 0.5627)
Ba (0.6802, 0.3605, 0.8414)
Br (0.8998, 0.3070, 0.5627)
Br (0.4520, 0.3665, 0.1031)
Ba (0.3198, 0.6395, 0.1586)
K (0.2329, 0.0000, 0.0000)
Br (0.5054, 0.0108, 0.2273)

Calculated values
Its raw total energy is -3.737 eV/atom. The space group is No. 12. The density of states at the Fermi level comes out at 0.0000 states/eV/atom. As for the volume: 41.371 Å³ per atom. The uncorrected formation energy is -2059.4 meV per atom.